This record from Alexandria describes a relaxed structure of Pu4InRh4. The functional is PBE.

* calculated formation energy: -56 meV per atom
* total DFT energy (no corrections): -179.96 eV for the cell shown
* M_tot: 9.45 Bohr magnetons per cell

Cell and atoms, written as CIF:
```
data_Pu4InRh4
_chemical_formula_sum 'Pu8 In2 Rh8'
_symmetry_space_group_name_H-M 'I 4/m'
_symmetry_Int_Tables_number 87
_symmetry_space_group_name_Hall '-I 4'
_cell_length_a 8.0238
_cell_length_b 8.0238
_cell_length_c 5.0464
_cell_angle_alpha 90.00
_cell_angle_beta 90.00
_cell_angle_gamma 90.00
loop_
_atom_site_label
_atom_site_fract_x
_atom_site_fract_y
_atom_site_fract_z
Pu1 0.1401 0.1610 0.0000
In1 0.0000 0.0000 0.5000
Rh1 0.0324 0.6599 0.5000
```